The following is a PBEsol calculation of a geometry-optimized KBa2Co structure, from Alexandria.

Cell and atoms, written as extended XYZ:
```
4
Lattice="5.797 0.000 0.000 2.899 5.021 0.000 2.899 1.674 4.734" Properties=species:S:1:pos:R:3 pbc="T T T"
Ba 8.696 5.021 3.550
Ba 0.000 0.000 0.000
K 2.899 1.674 1.183
Co 5.797 3.347 2.367
```

Calculated values
offset from the most stable computed form = 461 meV per atom
symmetry = F-43m
ΔH_f (0 K) = 0.843 eV/atom

The following is a PBEsol calculation of a geometry-optimized KBa2Co structure, from Alexandria.

Cell and atoms, written as extended XYZ:
```
4
Lattice="3.801 0.000 0.036 0.000 3.802 0.000 -0.062 0.000 11.186" Properties=species:S:1:pos:R:3 pbc="T T T"
Co 1.870 1.901 5.611
Ba 3.758 0.000 7.396
Ba -0.018 0.000 3.827
K 1.901 1.901 0.018
```

Calculated values
offset from the most stable computed form = 0 meV per atom
symmetry = P2/m
ΔH_f (0 K) = 0.382 eV/atom

The following is a PBEsol calculation of a geometry-optimized KBa2Co structure, from Alexandria.

Cell and atoms, written as extended XYZ:
```
4
Lattice="4.134 0.000 0.000 0.000 4.134 0.000 0.000 0.000 11.086" Properties=species:S:1:pos:R:3 pbc="T T T"
K 2.067 2.067 8.394
Ba 0.000 0.000 0.853
Ba 2.067 2.067 4.028
Co 0.000 0.000 3.354
```

Calculated values
offset from the most stable computed form = 150 meV per atom
symmetry = P4mm
ΔH_f (0 K) = 0.531 eV/atom

The following is a PBEsol calculation of a geometry-optimized KBaCoSe2 structure, from Alexandria.

Cell and atoms, written as extended XYZ:
```
5
Lattice="-1.304 0.611 -4.264 -1.387 -5.521 -0.367 -5.281 1.208 1.788" Properties=species:S:1:pos:R:3 pbc="T T T"
Ba -3.986 -1.851 -1.421
K 0.000 0.000 0.000
Se -0.694 -2.761 -0.184
Se -2.640 0.604 0.894
Co -0.652 0.306 -2.132
```

Calculated values
ΔE_f (raw) = 0.29 eV/atom
symmetry = P4/mmm

The following is a PBEsol calculation of a geometry-optimized KBaTa2Co structure, from Alexandria.

Cell and atoms, written as extended XYZ:
```
5
Lattice="4.656 0.000 0.000 0.000 4.656 0.000 0.000 0.000 6.128" Properties=species:S:1:pos:R:3 pbc="T T T"
Ba 0.000 0.000 3.064
K 2.328 2.328 3.064
Co 0.000 0.000 0.000
Ta 0.000 2.328 0.000
Ta 2.328 0.000 0.000
```

Calculated values
symmetry = P4/mmm
ΔH_f (0 K) = 1.115 eV/atom

The following is a PBEsol calculation of a geometry-optimized BaLaCo structure, from Alexandria.

Cell and atoms, written as extended XYZ:
```
3
Lattice="-2.118 -1.065 -2.666 -2.418 -1.125 2.370 -0.766 7.392 0.042" Properties=species:S:1:pos:R:3 pbc="T T T"
La -1.677 3.482 -0.059
Co -3.412 1.281 -0.188
Ba -0.212 0.439 -0.007
```

Calculated values
symmetry = I4mm
ΔH_f (0 K) = 0.205 eV/atom

The following is a PBEsol calculation of a geometry-optimized BaLaCo2 structure, from Alexandria.

Cell and atoms, written as extended XYZ:
```
4
Lattice="-0.581 1.361 -3.213 -0.206 -4.627 -1.923 -4.942 -0.129 0.840" Properties=species:S:1:pos:R:3 pbc="T T T"
La -2.865 -1.697 -2.148
Co -2.471 -0.064 0.420
Co -0.103 -2.313 -0.962
Ba -0.291 0.681 -1.606
```

Calculated values
symmetry = P4/mmm
ΔH_f (0 K) = 0.516 eV/atom

The following is a PBEsol calculation of a geometry-optimized BaLa2Co3O9 structure, from Alexandria.

Cell and atoms, written as extended XYZ:
```
15
Lattice="-4.147 -1.725 -2.998 5.008 -1.708 -1.081 -0.850 -5.090 4.105" Properties=species:S:1:pos:R:3 pbc="T T T"
Ba 0.000 0.000 0.000
O -0.704 -5.873 -0.510
O 3.138 -3.477 0.014
O -1.121 -4.212 1.463
O 1.131 -4.312 -1.437
O -2.074 -0.863 -1.499
O 0.430 -1.717 -2.039
O 2.504 -0.854 -0.540
O -3.127 -5.046 0.013
O 0.715 -2.651 0.537
Co -0.425 -2.545 2.053
Co 1.819 -2.534 -1.058
Co -1.809 -5.989 1.084
La 1.395 -5.072 0.989
La -1.385 -3.451 -0.962
```

Calculated values
ΔE_f (raw) = -2.09 eV/atom
symmetry = P-3m1

The following is a PBEsol calculation of a geometry-optimized BaLaCo2O5 structure, from Alexandria.

Cell and atoms, written as extended XYZ:
```
9
Lattice="-2.813 1.916 -1.859 -1.215 -3.325 -1.590 -4.586 -1.100 5.806" Properties=species:S:1:pos:R:3 pbc="T T T"
Co -3.426 -0.822 4.337
Co -1.160 -0.278 1.468
O -2.744 0.637 0.764
O 0.000 0.000 0.000
O -4.655 0.179 3.183
O -3.856 -2.442 3.318
O -1.945 -1.983 0.898
La -4.307 -1.254 1.179
Ba -2.014 -0.704 -1.724
```

Calculated values
ΔE_f (raw) = -2.03 eV/atom
symmetry = P4/mmm

The following is a PBEsol calculation of a geometry-optimized BaLa8CoSi6O26 structure, from Alexandria.

Cell and atoms, written as extended XYZ:
```
42
Lattice="-2.065 5.085 -4.530 -9.122 -1.252 2.754 5.575 6.347 4.582" Properties=species:S:1:pos:R:3 pbc="T T T"
O -6.632 3.678 -0.625
O -4.027 5.063 -0.258
O 2.029 7.025 1.371
O -1.138 4.591 3.849
O -1.709 7.422 3.521
O -2.757 2.765 2.572
O -2.380 7.037 0.610
O -7.746 2.344 2.145
O -1.389 4.622 0.232
O -4.667 5.230 -3.152
O -5.123 0.753 1.392
O -0.335 0.824 -0.734
O 0.187 7.077 -0.517
O -5.236 8.307 0.562
O -6.320 5.714 1.518
O -2.194 5.855 -1.920
O -5.780 2.767 3.952
O -3.407 1.854 -0.382
O 2.002 9.169 -0.114
O 0.726 3.700 1.999
O -8.946 5.521 -0.874
O -1.278 3.146 -2.803
O 1.430 5.638 3.853
O -3.041 9.371 2.412
O -0.421 8.755 1.645
O -3.742 5.127 3.444
La -1.121 2.193 0.907
La -1.788 6.254 5.769
La -4.272 7.316 2.490
La -3.538 3.304 -2.348
La -0.253 6.101 1.936
La 3.793 5.814 2.730
La -9.110 3.689 0.625
La -6.147 6.019 -0.857
Si -7.221 2.038 3.688
Si -3.866 0.459 0.386
Si -2.630 3.928 3.717
Si -1.520 8.926 2.845
Si -2.526 5.698 -0.319
Si 1.714 7.552 -0.171
Co -1.294 8.664 -0.348
Ba -5.100 3.440 1.440
```

Calculated values
ΔE_f (raw) = -3.14 eV/atom
symmetry = P3

The following is a PBEsol calculation of a geometry-optimized Ba2LaZnCo structure, from Alexandria.

Cell and atoms, written as extended XYZ:
```
5
Lattice="4.418 0.000 0.000 0.000 6.312 0.000 0.000 0.000 6.312" Properties=species:S:1:pos:R:3 pbc="T T T"
La 0.000 0.000 0.000
Ba 0.000 3.156 0.000
Ba 0.000 0.000 3.156
Co 2.209 0.000 0.000
Zn 2.209 3.156 3.156
```

Calculated values
symmetry = P4/mmm
ΔH_f (0 K) = 0.663 eV/atom

The following is a PBEsol calculation of a geometry-optimized Ba2LiCo structure, from Alexandria.

Cell and atoms, written as extended XYZ:
```
4
Lattice="-1.819 0.509 3.127 -4.215 -2.625 -2.024 5.272 -4.249 1.624" Properties=species:S:1:pos:R:3 pbc="T T T"
Co 2.209 -5.196 2.130
Ba -0.800 -6.275 2.690
Ba -1.270 -3.280 -0.205
Li 0.594 -3.283 3.014
```

Calculated values
offset from the most stable computed form = 39 meV per atom
symmetry = Imm2
ΔH_f (0 K) = 0.436 eV/atom